(1)
{"formula": "Pr3Cd2Ag", "functional": "PBE", "state": "relaxed", "spacegroup": "P4/mmm, No. 123", "e_tot_ev_per_atom": -3.465, "formation_energy_kj_per_mol_fu": -171, "lattice": [[3.8585, 0.0000, 0.0000], [0.0000, 3.8585, 0.0000], [0.0000, 0.0000, 11.4799]], "species": ["Pr", "Pr", "Pr", "Cd", "Cd", "Ag"], "frac_coords": [[0.0000, 0.0000, 0.0000], [0.0000, 0.0000, 0.3382], [0.0000, 0.0000, 0.6618], [0.5000, 0.5000, 0.1668], [0.5000, 0.5000, 0.8332], [0.5000, 0.5000, 0.5000]]}

---

(2)
{"formula": "Pr3Cd2Ag4", "functional": "PBE", "state": "relaxed", "spacegroup": "C2/m, No. 12", "polymorph_energy_ev_per_atom": 0.052, "e_tot_ev_per_atom": -3.305, "formation_energy_kj_per_mol_fu": -209, "lattice": [[4.9984, -2.4412, 0.0000], [4.9984, 2.4412, 0.0000], [-0.8100, 0.0000, 9.2956]], "species": ["Pr", "Pr", "Pr", "Cd", "Cd", "Ag", "Ag", "Ag", "Ag"], "frac_coords": [[0.0000, 0.0000, 0.0000], [0.3618, 0.3618, 0.6078], [0.6382, 0.6382, 0.3922], [0.3137, 0.3137, 0.2349], [0.6863, 0.6863, 0.7651], [0.0567, 0.0567, 0.6477], [0.2971, 0.2971, 0.9249], [0.7029, 0.7029, 0.0751], [0.9433, 0.9433, 0.3523]]}

---

(3)
{"formula": "PrCdAg3", "functional": "PBE", "state": "relaxed", "spacegroup": "P6_3/mmc, No. 194", "polymorph_energy_ev_per_atom": 0.104, "e_tot_ev_per_atom": -2.948, "formation_energy_kj_per_mol_fu": -47, "lattice": [[6.9159, 0.0000, 0.0000], [-3.4579, 5.9893, 0.0000], [0.0000, 0.0000, 5.7264]], "species": ["Pr", "Pr", "Cd", "Cd", "Ag", "Ag", "Ag", "Ag", "Ag", "Ag"], "frac_coords": [[0.3333, 0.6667, 0.2500], [0.6667, 0.3333, 0.7500], [0.0000, 0.0000, 0.0000], [0.0000, 0.0000, 0.5000], [0.2002, 0.4003, 0.7500], [0.2002, 0.7998, 0.7500], [0.4003, 0.2002, 0.2500], [0.5997, 0.7998, 0.7500], [0.7998, 0.2002, 0.2500], [0.7998, 0.5997, 0.2500]]}

---

(4)
{"formula": "Pr2Cd3Ag4", "functional": "PBE", "state": "relaxed", "spacegroup": "P-1, No. 2", "polymorph_energy_ev_per_atom": 0.000, "e_tot_ev_per_atom": -2.869, "formation_energy_kj_per_mol_fu": -204, "lattice": [[5.0085, 0.0000, 0.0000], [2.5028, 4.4233, 0.0000], [0.0296, 0.7064, 9.3708]], "species": ["Pr", "Pr", "Cd", "Cd", "Cd", "Ag", "Ag", "Ag", "Ag"], "frac_coords": [[0.1784, 0.1412, 0.2310], [0.8216, 0.8588, 0.7690], [0.1494, 0.2051, 0.5863], [0.5000, 0.5000, 0.0000], [0.8506, 0.7949, 0.4137], [0.1620, 0.1766, 0.9050], [0.4764, 0.5506, 0.6426], [0.5236, 0.4494, 0.3574], [0.8380, 0.8234, 0.0950]]}

---

(5)
{"formula": "Pr3CdAg4", "functional": "PBE", "state": "relaxed", "spacegroup": "R-3m, No. 166", "e_tot_ev_per_atom": -3.564, "formation_energy_kj_per_mol_fu": -179, "lattice": [[2.6141, 1.5092, 8.5510], [-2.6141, 1.5092, 8.5510], [0.0000, -3.0185, 8.5510]], "species": ["Pr", "Pr", "Pr", "Cd", "Ag", "Ag", "Ag", "Ag"], "frac_coords": [[0.0000, 0.0000, 0.0000], [0.2427, 0.2427, 0.2427], [0.7573, 0.7573, 0.7573], [0.5000, 0.5000, 0.5000], [0.1223, 0.1223, 0.1223], [0.3747, 0.3747, 0.3747], [0.6253, 0.6253, 0.6253], [0.8777, 0.8777, 0.8777]]}

---

(6)
{"formula": "Pr6Cd2Ag", "functional": "PBE", "state": "relaxed", "spacegroup": "P2_1/c, No. 14", "e_tot_ev_per_atom": -3.792, "formation_energy_kj_per_mol_fu": -74, "lattice": [[6.5130, 0.0000, 0.0000], [0.0000, 9.6211, 0.0000], [-4.6559, 0.0000, 9.2180]], "species": ["Pr", "Pr", "Pr", "Pr", "Pr", "Pr", "Pr", "Pr", "Pr", "Pr", "Pr", "Pr", "Cd", "Cd", "Cd", "Cd", "Ag", "Ag"], "frac_coords": [[0.0768, 0.1697, 0.4737], [0.0768, 0.3303, 0.9737], [0.3503, 0.6922, 0.4418], [0.3503, 0.8078, 0.9418], [0.4135, 0.0369, 0.2948], [0.4135, 0.4631, 0.7948], [0.5865, 0.5369, 0.2052], [0.5865, 0.9631, 0.7052], [0.6497, 0.1922, 0.0582], [0.6497, 0.3078, 0.5582], [0.9232, 0.6697, 0.0263], [0.9232, 0.8303, 0.5263], [0.1464, 0.0992, 0.7811], [0.1464, 0.4008, 0.2811], [0.8536, 0.5992, 0.7189], [0.8536, 0.9008, 0.2189], [0.0000, 0.0000, 0.0000], [0.0000, 0.5000, 0.5000]]}

---

(7)
{"formula": "PrCd3Ag", "functional": "PBE", "state": "relaxed", "spacegroup": "P2_1/m, No. 11", "polymorph_energy_ev_per_atom": 0.000, "e_tot_ev_per_atom": -2.300, "formation_energy_kj_per_mol_fu": -108, "lattice": [[6.7835, 0.0000, 0.0000], [0.0000, 4.8261, 0.0000], [-2.3608, 0.0000, 7.3307]], "species": ["Pr", "Pr", "Cd", "Cd", "Cd", "Cd", "Cd", "Cd", "Ag", "Ag"], "frac_coords": [[0.1729, 0.2500, 0.2136], [0.8271, 0.7500, 0.7864], [0.1500, 0.2500, 0.7734], [0.3536, 0.7500, 0.9710], [0.4936, 0.2500, 0.6267], [0.5064, 0.7500, 0.3733], [0.6464, 0.2500, 0.0290], [0.8500, 0.7500, 0.2266], [0.1930, 0.7500, 0.5603], [0.8070, 0.2500, 0.4397]]}

---

(8)
{"formula": "Pr6Cd5Ag", "functional": "PBE", "state": "relaxed", "spacegroup": "Cmmm, No. 65", "e_tot_ev_per_atom": -3.313, "formation_energy_kj_per_mol_fu": -352, "lattice": [[2.7260, -8.1868, 0.0000], [2.7260, 8.1868, 0.0000], [0.0000, 0.0000, 7.7738]], "species": ["Pr", "Pr", "Pr", "Pr", "Pr", "Pr", "Cd", "Cd", "Cd", "Cd", "Cd", "Ag"], "frac_coords": [[0.0000, 0.0000, 0.2461], [0.0000, 0.0000, 0.7539], [0.3358, 0.6642, 0.2489], [0.3358, 0.6642, 0.7511], [0.6642, 0.3358, 0.2489], [0.6642, 0.3358, 0.7511], [0.1683, 0.8317, 0.5000], [0.1707, 0.8293, 0.0000], [0.5000, 0.5000, 0.5000], [0.8293, 0.1707, 0.0000], [0.8317, 0.1683, 0.5000], [0.5000, 0.5000, 0.0000]]}

---

(9)
{"formula": "Pr2Cd4Ag", "functional": "PBE", "state": "relaxed", "spacegroup": "C2/m, No. 12", "e_tot_ev_per_atom": -2.592, "formation_energy_kj_per_mol_fu": -200, "lattice": [[4.2940, -2.4824, 0.0000], [4.2940, 2.4824, 0.0000], [-2.9194, 0.0000, 8.4212]], "species": ["Pr", "Pr", "Cd", "Cd", "Cd", "Cd", "Ag"], "frac_coords": [[0.0728, 0.0728, 0.2164], [0.9272, 0.9272, 0.7836], [0.1989, 0.1989, 0.5981], [0.3249, 0.3249, 0.9747], [0.6751, 0.6751, 0.0253], [0.8011, 0.8011, 0.4019], [0.5000, 0.5000, 0.5000]]}

---

(10)
{"formula": "PrCd2Ag3", "functional": "PBE", "state": "relaxed", "spacegroup": "Cmcm, No. 63", "polymorph_energy_ev_per_atom": 0.063, "e_tot_ev_per_atom": -2.661, "formation_energy_kj_per_mol_fu": -77, "lattice": [[4.8644, -5.0396, 0.0000], [4.8644, 5.0396, 0.0000], [0.0000, 0.0000, 5.6658]], "species": ["Pr", "Pr", "Cd", "Cd", "Cd", "Cd", "Ag", "Ag", "Ag", "Ag", "Ag", "Ag"], "frac_coords": [[0.2273, 0.7727, 0.7500], [0.7727, 0.2273, 0.2500], [0.2405, 0.2405, 0.0000], [0.2405, 0.2405, 0.5000], [0.7595, 0.7595, 0.0000], [0.7595, 0.7595, 0.5000], [0.0641, 0.5915, 0.2500], [0.4085, 0.9359, 0.2500], [0.4550, 0.5450, 0.2500], [0.5450, 0.4550, 0.7500], [0.5915, 0.0641, 0.7500], [0.9359, 0.4085, 0.7500]]}

---

(11)
{"formula": "PrCdAg", "functional": "PBE", "state": "relaxed", "spacegroup": "P-6m2, No. 187", "e_tot_ev_per_atom": -3.156, "formation_energy_kj_per_mol_fu": -89, "lattice": [[4.9975, 0.0000, 0.0000], [-2.4987, 4.3279, 0.0000], [0.0000, 0.0000, 3.4732]], "species": ["Pr", "Cd", "Ag"], "frac_coords": [[0.0000, 0.0000, 0.0000], [0.3333, 0.6667, 0.5000], [0.6667, 0.3333, 0.5000]]}

---

(12)
{"formula": "Pr4CdAg3", "functional": "PBE", "state": "relaxed", "spacegroup": "Pmm2, No. 25", "polymorph_energy_ev_per_atom": 0.026, "e_tot_ev_per_atom": -3.807, "formation_energy_kj_per_mol_fu": -181, "lattice": [[3.8284, 0.0000, 0.0000], [0.0000, 4.9410, 0.0000], [0.0000, 0.0000, 11.8972]], "species": ["Pr", "Pr", "Pr", "Pr", "Cd", "Ag", "Ag", "Ag"], "frac_coords": [[0.0000, 0.0000, 0.0000], [0.0000, 0.5000, 0.2873], [0.5000, 0.0000, 0.4872], [0.5000, 0.5000, 0.7969], [0.0000, 0.0000, 0.7152], [0.0000, 0.5000, 0.5664], [0.5000, 0.0000, 0.2153], [0.5000, 0.5000, 0.0714]]}

---

(13)
{"formula": "Pr4CdAg5", "functional": "PBE", "state": "relaxed", "spacegroup": "P4/mmm, No. 123", "e_tot_ev_per_atom": -3.633, "formation_energy_kj_per_mol_fu": -197, "lattice": [[3.6980, 0.0000, 0.0000], [0.0000, 3.6980, 0.0000], [0.0000, 0.0000, 18.7186]], "species": ["Pr", "Pr", "Pr", "Pr", "Cd", "Ag", "Ag", "Ag", "Ag", "Ag"], "frac_coords": [[0.0000, 0.0000, 0.1046], [0.0000, 0.0000, 0.3140], [0.0000, 0.0000, 0.6860], [0.0000, 0.0000, 0.8954], [0.0000, 0.0000, 0.5000], [0.5000, 0.5000, 0.0000], [0.5000, 0.5000, 0.2085], [0.5000, 0.5000, 0.4182], [0.5000, 0.5000, 0.5818], [0.5000, 0.5000, 0.7915]]}

---

(14)
{"formula": "PrCdAg", "functional": "PBE", "state": "relaxed", "spacegroup": "C2/m, No. 12", "e_tot_ev_per_atom": -3.153, "formation_energy_kj_per_mol_fu": -88, "lattice": [[5.4730, -2.4761, 0.0000], [5.4730, 2.4761, 0.0000], [-4.2792, 0.0000, 5.5532]], "species": ["Pr", "Pr", "Cd", "Cd", "Ag", "Ag"], "frac_coords": [[0.0240, 0.0240, 0.2775], [0.9760, 0.9760, 0.7225], [0.3313, 0.3313, 0.8661], [0.6687, 0.6687, 0.1339], [0.3360, 0.3360, 0.3139], [0.6640, 0.6640, 0.6861]]}

---

(15)
{"formula": "Pr2Cd2Ag", "functional": "PBE", "state": "relaxed", "spacegroup": "C2/m, No. 12", "polymorph_energy_ev_per_atom": 0.000, "e_tot_ev_per_atom": -3.109, "formation_energy_kj_per_mol_fu": -126, "lattice": [[5.5587, -2.4723, 0.0000], [5.5587, 2.4723, 0.0000], [-3.6763, 0.0000, 9.9296]], "species": ["Pr", "Pr", "Pr", "Pr", "Cd", "Cd", "Cd", "Cd", "Ag", "Ag"], "frac_coords": [[0.0302, 0.0302, 0.3462], [0.1780, 0.1780, 0.0989], [0.8220, 0.8220, 0.9011], [0.9698, 0.9698, 0.6538], [0.3601, 0.3601, 0.4218], [0.4761, 0.4761, 0.1270], [0.5239, 0.5239, 0.8730], [0.6399, 0.6399, 0.5782], [0.2701, 0.2701, 0.6697], [0.7299, 0.7299, 0.3303]]}

---

(16)
{"formula": "Pr3Cd4Ag4", "functional": "PBE", "state": "relaxed", "spacegroup": "P-1, No. 2", "polymorph_energy_ev_per_atom": 0.000, "e_tot_ev_per_atom": -2.931, "formation_energy_kj_per_mol_fu": -273, "lattice": [[3.5311, 0.0000, 0.0000], [-0.0079, 4.8910, 0.0000], [-1.7481, -2.4283, 15.4796]], "species": ["Pr", "Pr", "Pr", "Cd", "Cd", "Cd", "Cd", "Ag", "Ag", "Ag", "Ag"], "frac_coords": [[0.0000, 0.0000, 0.0000], [0.1402, 0.6398, 0.2811], [0.8598, 0.3602, 0.7189], [0.2621, 0.2629, 0.5252], [0.4073, 0.9074, 0.8134], [0.5927, 0.0926, 0.1866], [0.7379, 0.7371, 0.4748], [0.3146, 0.8151, 0.6292], [0.4544, 0.4541, 0.9077], [0.5456, 0.5459, 0.0923], [0.6854, 0.1849, 0.3708]]}

---

(17)
{"formula": "Pr12CdAg6", "functional": "PBE", "state": "relaxed", "spacegroup": "R-3, No. 148", "e_tot_ev_per_atom": -4.042, "formation_energy_kj_per_mol_fu": -137, "lattice": [[7.5109, 4.3364, 2.7829], [-7.5109, 4.3364, 2.7829], [0.0000, -8.6728, 2.7829]], "species": ["Pr", "Pr", "Pr", "Pr", "Pr", "Pr", "Pr", "Pr", "Pr", "Pr", "Pr", "Pr", "Cd", "Ag", "Ag", "Ag", "Ag", "Ag", "Ag"], "frac_coords": [[0.1151, 0.1784, 0.7391], [0.1784, 0.7391, 0.1151], [0.1950, 0.3408, 0.4782], [0.2609, 0.8849, 0.8216], [0.3408, 0.4782, 0.1950], [0.4782, 0.1950, 0.3408], [0.5218, 0.8050, 0.6592], [0.6592, 0.5218, 0.8050], [0.7391, 0.1151, 0.1784], [0.8050, 0.6592, 0.5218], [0.8216, 0.2609, 0.8849], [0.8849, 0.8216, 0.2609], [0.0000, 0.0000, 0.0000], [0.0492, 0.5757, 0.3477], [0.3477, 0.0492, 0.5757], [0.4243, 0.6523, 0.9508], [0.5757, 0.3477, 0.0492], [0.6523, 0.9508, 0.4243], [0.9508, 0.4243, 0.6523]]}

---

(18)
{"formula": "Pr3Cd8Ag3", "functional": "PBE", "state": "relaxed", "spacegroup": "Immm, No. 71", "e_tot_ev_per_atom": -2.402, "formation_energy_kj_per_mol_fu": -329, "lattice": [[-2.4774, 4.8841, 6.9983], [2.4774, -4.8841, 6.9983], [2.4774, 4.8841, -6.9983]], "species": ["Pr", "Pr", "Pr", "Cd", "Cd", "Cd", "Cd", "Cd", "Cd", "Cd", "Cd", "Ag", "Ag", "Ag"], "frac_coords": [[0.0000, 0.0000, 0.0000], [0.2904, 0.2904, 0.0000], [0.7096, 0.7096, 0.0000], [0.0090, 0.6513, 0.3577], [0.1540, 0.8635, 0.2905], [0.2936, 0.6513, 0.6423], [0.4270, 0.1365, 0.2905], [0.5730, 0.8635, 0.7095], [0.7064, 0.3487, 0.3577], [0.8460, 0.1365, 0.7095], [0.9910, 0.3487, 0.6423], [0.3408, 0.5000, 0.8408], [0.5000, 0.0000, 0.5000], [0.6592, 0.5000, 0.1592]]}

---

(19)
{"formula": "Pr4CdAg", "functional": "PBE", "state": "relaxed", "spacegroup": "P2_1/c, No. 14", "polymorph_energy_ev_per_atom": 0.132, "e_tot_ev_per_atom": -3.852, "formation_energy_kj_per_mol_fu": -22, "lattice": [[6.3485, 0.0000, 0.0000], [0.0000, 9.6813, 0.0000], [-1.8387, 0.0000, 6.0049]], "species": ["Pr", "Pr", "Pr", "Pr", "Pr", "Pr", "Pr", "Pr", "Cd", "Cd", "Ag", "Ag"], "frac_coords": [[0.0888, 0.1646, 0.0968], [0.0888, 0.3354, 0.5968], [0.4033, 0.6579, 0.9222], [0.4033, 0.8421, 0.4222], [0.5967, 0.1579, 0.5778], [0.5967, 0.3421, 0.0778], [0.9112, 0.6646, 0.4032], [0.9112, 0.8354, 0.9032], [0.5000, 0.0000, 0.0000], [0.5000, 0.5000, 0.5000], [0.0000, 0.0000, 0.5000], [0.0000, 0.5000, 0.0000]]}

---

(20)
{"formula": "Pr4Cd2Ag", "functional": "PBE", "state": "relaxed", "spacegroup": "I4/mmm, No. 139", "polymorph_energy_ev_per_atom": 0.000, "e_tot_ev_per_atom": -3.530, "formation_energy_kj_per_mol_fu": -88, "lattice": [[-3.8158, 3.8158, 3.8041], [3.8158, -3.8158, 3.8041], [3.8158, 3.8158, -3.8041]], "species": ["Pr", "Pr", "Pr", "Pr", "Cd", "Cd", "Ag"], "frac_coords": [[0.0000, 0.0000, 0.5000], [0.0000, 0.5000, 0.0000], [0.5000, 0.0000, 0.0000], [0.5000, 0.5000, 0.5000], [0.0000, 0.5000, 0.5000], [0.5000, 0.0000, 0.5000], [0.0000, 0.0000, 0.0000]]}

---

(21)
{"formula": "PrCd4Ag", "functional": "PBE", "state": "relaxed", "spacegroup": "Pmma, No. 51", "polymorph_energy_ev_per_atom": 0.000, "e_tot_ev_per_atom": -2.091, "formation_energy_kj_per_mol_fu": -121, "lattice": [[8.5138, 0.0000, 0.0000], [0.0000, 4.3684, 0.0000], [0.0000, 0.0000, 7.7463]], "species": ["Pr", "Pr", "Cd", "Cd", "Cd", "Cd", "Cd", "Cd", "Cd", "Cd", "Ag", "Ag"], "frac_coords": [[0.2500, 0.0000, 0.1201], [0.7500, 0.0000, 0.8799], [0.0000, 0.0000, 0.5000], [0.0492, 0.5000, 0.8161], [0.2500, 0.5000, 0.4380], [0.4508, 0.5000, 0.8161], [0.5000, 0.0000, 0.5000], [0.5492, 0.5000, 0.1839], [0.7500, 0.5000, 0.5620], [0.9508, 0.5000, 0.1839], [0.2500, 0.0000, 0.7212], [0.7500, 0.0000, 0.2788]]}

---

(22)
{"formula": "Pr2Cd3Ag4", "functional": "PBE", "state": "relaxed", "spacegroup": "Cmce, No. 64", "polymorph_energy_ev_per_atom": 0.039, "e_tot_ev_per_atom": -2.830, "formation_energy_kj_per_mol_fu": -170, "lattice": [[3.0435, -8.2379, 0.0000], [3.0435, 8.2379, 0.0000], [0.0000, 0.0000, 8.4586]], "species": ["Pr", "Pr", "Pr", "Pr", "Cd", "Cd", "Cd", "Cd", "Cd", "Cd", "Ag", "Ag", "Ag", "Ag", "Ag", "Ag", "Ag", "Ag"], "frac_coords": [[0.1128, 0.8872, 0.9159], [0.3872, 0.6128, 0.4159], [0.6128, 0.3872, 0.5841], [0.8872, 0.1128, 0.0841], [0.0000, 0.0000, 0.5000], [0.0244, 0.4756, 0.7500], [0.4756, 0.0244, 0.2500], [0.5000, 0.5000, 0.0000], [0.5244, 0.9756, 0.7500], [0.9756, 0.5244, 0.2500], [0.1774, 0.8226, 0.5268], [0.1961, 0.3039, 0.7500], [0.3039, 0.1961, 0.2500], [0.3226, 0.6774, 0.0268], [0.6774, 0.3226, 0.9732], [0.6961, 0.8039, 0.7500], [0.8039, 0.6961, 0.2500], [0.8226, 0.1774, 0.4732]]}